{
  "formula": "Sc3InCo",
  "functional": "GGA-PBEsol",
  "state": "optimized geometry",
  "sg": "No. 221",
  "m_tot_mub_per_atom": 0.000,
  "formation_energy_ev_per_atom": -0.21,
  "density_g_cm3": 4.775,
  "n_ef_per_ev_atom": 1.036,
  "crystal_system": "cubic",
  "vol_a3_per_cell": 107,
  "cell": [[-2.3021, -1.3001, -3.9491], [2.6643, -3.9266, -0.2605], [-3.1916, -2.3402, 2.6310]],
  "species": ["Sc", "Co", "Sc", "Sc", "In"],
  "frac_coords": [[0.5000, 0.0000, 0.0000], [0.0000, 0.0000, 0.0000], [0.0000, 0.5000, 0.0000], [0.0000, 0.0000, 0.5000], [0.5000, 0.5000, 0.5000]]
}